Density functional theory data (GGA-PBE) for LaCe3Dy2P6 after structural relaxation.

a = 7.093 Å, b = 7.093 Å, c = 7.082 Å
α = 99.62°, β = 99.62°, γ = 120.01°
Last column: magnetic moment on the atom in μB.
Sites, in units of the cell vectors:
La: 0.000 0.000 0.000  0.01
Ce: 0.165 0.835 0.500  0.46
Ce: 0.835 0.165 0.500  0.46
Ce: 0.500 0.500 0.500  0.46
Dy: 0.333 0.667 0.000  0.01
Dy: 0.667 0.333 0.000  0.01
P: 0.916 0.574 0.747  -0.01
P: 0.742 0.742 0.251  -0.01
P: 0.084 0.426 0.253  -0.01
P: 0.574 0.916 0.747  -0.01
P: 0.258 0.258 0.749  -0.01
P: 0.426 0.084 0.253  -0.01

Computed properties:
Its magnetization is 1.54 μB/f.u. The space group is C2/m. The calculation puts the formation enthalpy at 0 K at -18.50 eV/f.u.

Density functional theory data (GGA-PBE) for LaCeDyPa after structural relaxation.

a = 5.566 Å, b = 5.566 Å, c = 5.566 Å
α = 60.00°, β = 60.00°, γ = 60.00°
Last column: magnetic moment on the atom in μB.
Sites, in units of the cell vectors:
Pa: 0.500 0.500 0.500  1.21
La: 0.250 0.250 0.250  0.18
Ce: 0.750 0.750 0.750  0.89
Dy: 0.000 0.000 0.000  0.25

Computed properties:
Its magnetization is 3.52 μB/f.u. The space group is F-43m. The calculation puts the formation enthalpy at 0 K at 1.60 eV/f.u.

Density functional theory data (GGA-PBE) for LaCePm2Dy5 after structural relaxation.

a = 8.696 Å, b = 8.696 Å, c = 9.957 Å
α = 115.89°, β = 115.89°, γ = 90.00°
Last column: magnetic moment on the atom in μB.
Sites, in units of the cell vectors:
La: 0.250 0.250 0.500  0.01
La: 0.750 0.750 0.500  0.01
Ce: 0.250 0.750 0.500  0.79
Ce: 0.750 0.250 0.500  0.79
Pm: 0.120 0.380 0.000  -0.02
Pm: 0.620 0.120 0.000  -0.02
Pm: 0.380 0.880 0.000  -0.02
Pm: 0.880 0.620 0.000  -0.02
Dy: 0.935 0.435 0.275  0.06
Dy: 0.661 0.161 0.725  0.06
Dy: 0.065 0.565 0.725  0.06
Dy: 0.161 0.065 0.725  0.06
Dy: 0.565 0.661 0.725  0.06
Dy: 0.839 0.935 0.275  0.06
Dy: 0.435 0.339 0.275  0.06
Dy: 0.339 0.839 0.275  0.06
Dy: 0.500 0.500 0.000  -0.03
Dy: 0.000 0.000 0.000  -0.03

Computed properties:
Its magnetization is 1.11 μB/f.u. The space group is I4/mcm. The calculation puts the formation enthalpy at 0 K at 2.36 eV/f.u.

Density functional theory data (GGA-PBE) for La5CePm2Dy after structural relaxation.

a = 9.402 Å, b = 8.270 Å, c = 8.270 Å
α = 90.00°, β = 90.00°, γ = 90.00°
Last column: magnetic moment on the atom in μB.
Sites, in units of the cell vectors:
La: 0.500 0.500 0.500  -0.03
La: 0.500 0.000 0.000  -0.03
La: 0.222 0.194 0.694  0.06
La: 0.222 0.806 0.306  0.06
La: 0.222 0.306 0.194  0.06
La: 0.222 0.694 0.806  0.06
La: 0.778 0.194 0.694  0.06
La: 0.778 0.694 0.806  0.06
La: 0.778 0.806 0.306  0.06
La: 0.778 0.306 0.194  0.06
Ce: 0.000 0.000 0.500  0.81
Ce: 0.000 0.500 0.000  0.81
Pm: 0.500 0.630 0.130  -0.02
Pm: 0.500 0.130 0.370  -0.02
Pm: 0.500 0.870 0.630  -0.02
Pm: 0.500 0.370 0.870  -0.02
Dy: 0.000 0.500 0.500  0.03
Dy: 0.000 0.000 0.000  0.03

Computed properties:
Its magnetization is 1.31 μB/f.u. The space group is P4/mbm. The calculation puts the formation enthalpy at 0 K at 2.40 eV/f.u.